Computed, not measured: Pr3H12Rh5 after structural relaxation at the GGA-PBE level of DFT.

POSCAR file:
```
Pr3H12Rh5
1.0
-1.248 5.577 -8.574
-5.969 -8.387 -0.459
-2.650 5.658 8.194
H Pr Rh
48 12 20
Direct
0.676 0.494 0.588 H
0.595 0.006 0.183 H
0.506 0.183 0.095 H
0.905 0.317 0.494 H
0.183 0.676 0.088 H
0.683 0.095 0.006 H
0.088 0.176 0.494 H
0.676 0.183 0.588 H
0.824 0.912 0.317 H
0.324 0.817 0.412 H
0.176 0.088 0.994 H
0.912 0.824 0.817 H
0.912 0.088 0.595 H
0.405 0.994 0.817 H
0.317 0.412 0.824 H
0.912 0.088 0.905 H
0.683 0.588 0.176 H
0.405 0.412 0.088 H
0.412 0.317 0.324 H
0.588 0.683 0.676 H
0.994 0.405 0.317 H
0.494 0.676 0.088 H
0.817 0.324 0.912 H
0.317 0.905 0.994 H
0.324 0.506 0.412 H
0.095 0.683 0.506 H
0.006 0.412 0.824 H
0.817 0.494 0.405 H
0.494 0.817 0.905 H
0.912 0.824 0.506 H
0.176 0.088 0.683 H
0.905 0.588 0.912 H
0.183 0.506 0.595 H
0.088 0.176 0.183 H
0.412 0.095 0.588 H
0.506 0.324 0.912 H
0.588 0.994 0.676 H
0.588 0.905 0.412 H
0.088 0.912 0.405 H
0.412 0.006 0.324 H
0.088 0.912 0.095 H
0.994 0.588 0.176 H
0.824 0.912 0.006 H
0.588 0.595 0.412 H
0.412 0.405 0.588 H
0.095 0.412 0.088 H
0.006 0.595 0.683 H
0.595 0.588 0.912 H
0.875 0.750 0.125 Pr
0.125 0.875 0.750 Pr
0.875 0.125 0.250 Pr
0.750 0.375 0.125 Pr
0.250 0.625 0.875 Pr
0.625 0.375 0.750 Pr
0.125 0.250 0.875 Pr
0.625 0.250 0.375 Pr
0.375 0.750 0.625 Pr
0.375 0.625 0.250 Pr
0.750 0.875 0.625 Pr
0.250 0.125 0.375 Pr
0.375 0.250 0.125 Rh
0.125 0.375 0.250 Rh
0.000 0.500 0.500 Rh
0.375 0.125 0.750 Rh
0.000 0.500 0.000 Rh
0.500 0.500 0.500 Rh
0.500 0.000 0.500 Rh
0.875 0.250 0.625 Rh
0.625 0.750 0.875 Rh
0.000 0.000 0.500 Rh
0.875 0.625 0.750 Rh
0.750 0.625 0.375 Rh
0.000 0.000 0.000 Rh
0.750 0.125 0.875 Rh
0.250 0.875 0.125 Rh
0.500 0.500 0.000 Rh
0.500 0.000 0.000 Rh
0.125 0.750 0.375 Rh
0.625 0.875 0.250 Rh
0.250 0.375 0.625 Rh
```

Calculated values
- Symmetry: Ia-3d

***

Computed, not measured: K5HgTe3 after structural relaxation at the GGA-PBE level of DFT.

POSCAR file:
```
K5HgTe3
1.0
8.153 0.000 0.000
-4.076 8.961 -2.770
0.000 -0.031 11.129
Te K Hg
6 10 2
Direct
0.000 0.000 0.500 Te
0.329 0.658 0.164 Te
0.000 0.000 0.000 Te
0.671 0.342 0.836 Te
0.328 0.658 0.664 Te
0.672 0.342 0.336 Te
0.413 0.331 0.577 K
0.587 0.669 0.423 K
0.415 0.334 0.089 K
0.082 0.666 0.411 K
0.318 0.000 0.750 K
0.918 0.331 0.077 K
0.585 0.666 0.911 K
0.918 0.334 0.589 K
0.682 0.000 0.250 K
0.082 0.669 0.923 K
0.146 0.000 0.250 Hg
0.854 0.000 0.750 Hg
```

Calculated values
- Symmetry: C2/c

***

Number 1: calculated total energy -4.90 eV/atom, V 210.5 Å³/f.u., spin magnetization 0.00 μB per formula unit. Number 2: calculated total energy -2.55 eV/atom, V 406.2 Å³/f.u., spin magnetization 0.00 μB per formula unit.